1.
# SrLaZn2 | Alexandria | meta-GGA SCAN | single point on PBEsol structure
# - total moment (μB/f.u.) = 0.0
# - DFT formation energy (eV per atom) = 0.08
data_SrLaZn2
_chemical_formula_sum 'Sr4 La4 Zn8'
_cell_length_a 7.264
_cell_length_b 7.264
_cell_length_c 7.264
_cell_angle_alpha 90.00
_cell_angle_beta 90.00
_cell_angle_gamma 90.00
_space_group_name_H-M_alt 'F -4 3 m'
_space_group_IT_number 216
_space_group_name_Hall 'F -4 2 3'
loop_
_atom_site_label
_atom_site_type_symbol
_atom_site_fract_x
_atom_site_fract_y
_atom_site_fract_z
Sr1 Sr 0.000 0.000 0.000
La1 La 0.250 0.250 0.250
Zn1 Zn 0.000 0.000 0.500
Zn2 Zn 0.250 0.250 0.750

2.
# Mo2OsRh | Alexandria | meta-GGA SCAN | single point on PBEsol structure
# - total moment (μB/f.u.) = 0.0
# - excess energy over the best structure of this formula in the dataset (eV per atom) = 0.0114
# - DFT formation energy (eV per atom) = -0.08
data_Mo2OsRh
_chemical_formula_sum 'Mo2 Os1 Rh1'
_cell_length_a 3.876
_cell_length_b 3.876
_cell_length_c 3.836
_cell_angle_alpha 90.00
_cell_angle_beta 90.00
_cell_angle_gamma 90.00
_space_group_name_H-M_alt 'P 4/m m m'
_space_group_IT_number 123
_space_group_name_Hall '-P 4 2'
loop_
_atom_site_label
_atom_site_type_symbol
_atom_site_fract_x
_atom_site_fract_y
_atom_site_fract_z
Mo1 Mo 0.000 0.500 0.000
Os1 Os 0.000 0.000 0.500
Rh1 Rh 0.500 0.500 0.500